## La2Mg3CdPt2 (PBE)

Data for a relaxed structure of La2Mg3CdPt2.

```
8
Lattice="5.187 -2.152 0.000 5.187 2.152 0.000 -0.006 0.000 8.417" Properties=species:S:1:pos:R:3 pbc="T T T"
La 0.000 0.000 0.000
La 1.286 0.000 4.194
Mg 4.178 0.000 2.515
Mg 4.250 0.000 5.827
Mg 7.446 0.000 6.750
Cd 7.279 0.000 1.660
Pt 3.029 0.000 8.318
Pt 8.712 0.000 4.218
```

Output
Theoretical density   7.5 g cm⁻³
Magnetization   0.01 μB per cell
VASP energy   -4.1686 eV/atom